This record from the Alexandria database describes an optimized crystal structure of CdAg2Rh. The functional is PBEsol.

Energy of formation from the pure elements (kJ/mol of atoms): 5
Space group: No. 216

Cell lengths 4.509, 4.509, 4.509 Å; angles 60.00, 60.00, 60.00 degrees
Fractional coordinates of all 4 atoms:
Rh: 0.250 0.250 0.250
Ag: 0.000 0.000 0.000
Ag: 0.750 0.750 0.750
Cd: 0.500 0.500 0.500

---

This record from the Alexandria database describes an optimized crystal structure of FeOs2Br. The functional is PBEsol.

Formation energy from raw total energies (eV/f.u.): 4.43
Space group: No. 47
Energy above the most stable polymorph in this dataset (meV/atom): 275.4

Cell lengths 2.791, 4.637, 4.535 Å; angles 90.00, 90.00, 90.00 degrees
Site moments in Bohr magnetons follow the coordinates.
Fractional coordinates of all 4 atoms:
Os: 0.000 0.000 0.000  0.18
Os: 0.500 0.500 0.000  0.07
Br: 0.500 0.000 0.500  0.07
Fe: 0.000 0.500 0.500  2.78

---

This record from the Alexandria database describes an optimized crystal structure of Cd3H2CSeO8. The functional is PBEsol.

Space group: No. 62
E (eV per cell): -330.3

Cell lengths 6.524, 10.409, 10.483 Å; angles 90.00, 90.00, 90.00 degrees
Fractional coordinates of all 60 atoms:
Cd: 0.532 0.334 0.046
Cd: 0.746 0.625 0.250
Cd: 0.532 0.334 0.454
Cd: 0.246 0.875 0.250
Cd: 0.032 0.166 0.046
Cd: 0.754 0.125 0.750
Cd: 0.468 0.666 0.546
Cd: 0.968 0.834 0.954
Cd: 0.032 0.166 0.454
Cd: 0.968 0.834 0.546
Cd: 0.468 0.666 0.954
Cd: 0.254 0.375 0.750
O: 0.289 0.826 0.464
O: 0.118 0.664 0.250
O: 0.343 0.088 0.143
O: 0.070 0.039 0.629
O: 0.711 0.174 0.964
O: 0.618 0.836 0.250
O: 0.789 0.674 0.464
O: 0.657 0.912 0.643
O: 0.211 0.326 0.536
O: 0.882 0.336 0.750
O: 0.956 0.238 0.250
O: 0.289 0.826 0.036
O: 0.711 0.174 0.536
O: 0.843 0.412 0.357
O: 0.789 0.674 0.036
O: 0.070 0.039 0.871
O: 0.570 0.461 0.871
O: 0.930 0.961 0.371
O: 0.343 0.088 0.357
O: 0.456 0.262 0.250
O: 0.570 0.461 0.629
O: 0.211 0.326 0.964
O: 0.544 0.738 0.750
O: 0.657 0.912 0.857
O: 0.382 0.164 0.750
O: 0.157 0.588 0.643
O: 0.930 0.961 0.129
O: 0.044 0.762 0.750
O: 0.430 0.539 0.129
O: 0.430 0.539 0.371
O: 0.157 0.588 0.857
O: 0.843 0.412 0.143
H: 0.639 0.096 0.508
H: 0.139 0.404 0.992
H: 0.861 0.596 0.492
H: 0.639 0.096 0.992
H: 0.139 0.404 0.508
H: 0.361 0.904 0.492
H: 0.361 0.904 0.008
H: 0.861 0.596 0.008
C: 0.379 0.146 0.250
C: 0.121 0.646 0.750
C: 0.879 0.354 0.250
C: 0.621 0.854 0.750
Se: 0.249 0.024 0.750
Se: 0.251 0.524 0.250
Se: 0.749 0.476 0.750
Se: 0.751 0.976 0.250

---

This record from the Alexandria database describes an optimized crystal structure of MnOs3. The functional is PBEsol.

Energy of formation from the pure elements (kJ/mol of atoms): 0
Space group: No. 44

Cell lengths 2.694, 4.634, 5.000 Å; angles 117.61, 105.63, 90.00 degrees
Fractional coordinates of all 4 atoms:
Os: 0.254 0.919 0.507
Os: 0.746 0.411 0.493
Os: 0.500 0.505 0.000
Mn: 0.000 0.999 0.000

---

This record from the Alexandria database describes an optimized crystal structure of Fe3SeBr. The functional is PBEsol.

Formation energy from raw total energies (eV/f.u.): 5.62
Space group: No. 221

Cell lengths 4.432, 4.432, 4.432 Å; angles 90.00, 90.00, 90.00 degrees
Site moments in Bohr magnetons follow the coordinates.
Fractional coordinates of all 5 atoms:
Fe: 0.000 0.500 0.000  2.62
Fe: 0.500 0.000 0.000  2.62
Fe: 0.000 0.000 0.500  2.62
Br: 0.000 0.000 0.000  0.01
Se: 0.500 0.500 0.500  0.24

---

This record from the Alexandria database describes an optimized crystal structure of LaTa2Ru2. The functional is PBEsol.

Energy of formation from the pure elements (kJ/mol of atoms): 7
Space group: No. 139
Energy above the most stable polymorph in this dataset (meV/atom): 276.5

Cell lengths 4.383, 4.383, 6.165 Å; angles 110.82, 110.82, 90.00 degrees
Fractional coordinates of all 5 atoms:
Ru: 0.250 0.750 0.500
Ru: 0.750 0.250 0.500
La: 0.000 0.000 0.000
Ta: 0.633 0.633 0.266
Ta: 0.367 0.367 0.734

---

This record from the Alexandria database describes an optimized crystal structure of Ti3NbSe. The functional is PBEsol.

Formation energy from raw total energies (eV/f.u.): 4.64
Space group: No. 221

Cell lengths 4.740, 4.740, 4.740 Å; angles 90.00, 90.00, 90.00 degrees
Site moments in Bohr magnetons follow the coordinates.
Fractional coordinates of all 5 atoms:
Ti: 0.000 0.500 0.000  0.53
Ti: 0.000 0.000 0.500  0.53
Ti: 0.500 0.000 0.000  0.53
Nb: 0.000 0.000 0.000  0.01
Se: 0.500 0.500 0.500  -0.03

---

This record from the Alexandria database describes an optimized crystal structure of Rb2MgP. The functional is PBEsol.

Energy of formation from the pure elements (kJ/mol of atoms): -11
Space group: No. 122

Cell lengths 4.858, 9.621, 9.621 Å; angles 86.35, 75.38, 75.38 degrees
Fractional coordinates of all 8 atoms:
P: 0.750 0.500 0.500
P: 0.000 0.000 0.000
Rb: 0.929 0.196 0.696
Rb: 0.375 0.696 0.804
Rb: 0.821 0.804 0.304
Rb: 0.875 0.304 0.196
Mg: 0.500 0.000 0.000
Mg: 0.250 0.500 0.500

---

Magnetization values (in μB per cell) by entry order: 0.000; 3.132; 0.001; 0.001; 8.197; 0.000; 2.155; 0.001.